# 1
# TeC2

Crystalline TeC2 at its relaxed geometry (GGA-PBE, Alexandria).

E above lowest polymorph in meV/atom: 490.4
Spin magnetization in μB/cell: 0.00
Raw formation energy in eV/f.u.: 4.23

Geometry as POSCAR:
```
TeC2
1.0
5.324 0.000 0.000
0.000 5.324 0.000
0.000 0.000 5.324
Te C
4 8
direct
0.500 0.500 0.000
0.000 0.500 0.500
0.500 0.000 0.500
0.000 0.000 0.000
0.576 0.576 0.424
0.576 0.924 0.924
0.924 0.424 0.924
0.076 0.576 0.076
0.424 0.424 0.576
0.424 0.076 0.076
0.924 0.076 0.424
0.076 0.924 0.576
```


# 2
# TeC

Crystalline TeC at its relaxed geometry (GGA-PBE, Alexandria).

E above lowest polymorph in meV/atom: 1654.2
Spin magnetization in μB/cell: 0.00
Raw formation energy in eV/f.u.: 4.82

Geometry as POSCAR:
```
TeC
1.0
6.205 0.211 0.155
2.843 5.519 0.155
2.843 1.800 5.219
Te C
2 2
direct
0.281 0.281 0.281
0.719 0.719 0.719
0.845 0.845 0.845
0.155 0.155 0.155
```